(1)
A plane-wave DFT calculation with PBE was carried out for Rb2RuS4 after structural relaxation.

* crystal system: tetragonal
* formation energy without anion corrections: -31.9 kJ/mol of atoms
* Fermi-level density of states: 0.421 states/eV per atom
* spin magnetization: 0.67 μB/atom

Geometry as CIF:
```
data_Rb2RuS4
_chemical_formula_sum 'Rb4 Ru2 S8'
_cell_length_a 4.874
_cell_length_b 4.874
_cell_length_c 16.487
_cell_angle_alpha 90.00
_cell_angle_beta 90.00
_cell_angle_gamma 90.00
_space_group_name_H-M_alt 'I 4/m m m'
_space_group_IT_number 139
_space_group_name_Hall '-I 4 2'
loop_
_atom_site_label
_atom_site_type_symbol
_atom_site_fract_x
_atom_site_fract_y
_atom_site_fract_z
_atom_site_occupancy
Rb1 Rb 0.000 0.000 0.148 1
Ru1 Ru 0.000 0.000 0.500 1
S1 S 0.000 0.000 0.359 1
S2 S 0.000 0.500 0.000 1
```

---

(2)
A plane-wave DFT calculation with PBE was carried out for Rb2RuS after structural relaxation.

* crystal system: tetragonal
* formation energy without anion corrections: 86.5 kJ/mol of atoms
* Fermi-level density of states: 1.276 states/eV per atom
* spin magnetization: 0.52 μB/atom

Geometry as CIF:
```
data_Rb2RuS
_chemical_formula_sum 'Rb8 Ru4 S4'
_cell_length_a 4.586
_cell_length_b 4.586
_cell_length_c 22.255
_cell_angle_alpha 90.00
_cell_angle_beta 90.00
_cell_angle_gamma 90.00
_space_group_name_H-M_alt 'I -4 2 d'
_space_group_IT_number 122
_space_group_name_Hall 'I -4 2bw'
loop_
_atom_site_label
_atom_site_type_symbol
_atom_site_fract_x
_atom_site_fract_y
_atom_site_fract_z
_atom_site_occupancy
Rb1 Rb 0.245 0.250 0.125 1
Ru1 Ru 0.000 0.000 0.500 1
S1 S 0.000 0.000 0.000 1
```

---

(3)
A plane-wave DFT calculation with PBE was carried out for RbRu3S after structural relaxation.

* crystal system: cubic
* formation energy without anion corrections: 84.2 kJ/mol of atoms
* Fermi-level density of states: 1.638 states/eV per atom
* spin magnetization: 0.06 μB/atom
* polymorph energy (0 for the lowest one): 0.0 meV per atom

Geometry as CIF:
```
data_RbRu3S
_chemical_formula_sum 'Rb1 Ru3 S1'
_cell_length_a 4.532
_cell_length_b 4.532
_cell_length_c 4.532
_cell_angle_alpha 90.00
_cell_angle_beta 90.00
_cell_angle_gamma 90.00
_space_group_name_H-M_alt 'P m -3 m'
_space_group_IT_number 221
_space_group_name_Hall '-P 4 2 3'
loop_
_atom_site_label
_atom_site_type_symbol
_atom_site_fract_x
_atom_site_fract_y
_atom_site_fract_z
_atom_site_occupancy
Rb1 Rb 0.000 0.000 0.000 1
Ru1 Ru 0.000 0.500 0.500 1
S1 S 0.500 0.500 0.500 1
```